Sc6AgRh | PBE | relaxed

Summary:
Formation energy ... -262 meV/atom
Raw total energy ... -0.4620 Ry/atom
Magnetization ... 0.02 μB per formula unit
Symmetry ... No. 139

Cell: 8.3806 8.3806 8.3806 Å, 147.13 147.13 47.17°
Sites, in units of the cell vectors:
Sc 0.1051 0.6051 0.5000
Sc 0.2485 0.2485 0.0000
Sc 0.3949 0.8949 0.5000
Sc 0.6051 0.1051 0.5000
Sc 0.7515 0.7515 0.0000
Sc 0.8949 0.3949 0.5000
Ag 0.5000 0.5000 0.0000
Rh 0.0000 0.0000 0.0000